The following is a PBE calculation of a geometry-optimized Tb4Pr7Tm structure, from the Alexandria database.

Output
For the formation energy, the calculation gives 215 meV/atom. The value obtained for the distance to the lowest polymorph of the same formula is 2.43 eV per formula unit. The value obtained for the density of states at the Fermi level is 19.2 states/eV/f.u. As for the total energy: -53.9 eV/cell. The size of the total moment is 0.0 Bohr magnetons per cell.

Cell: 6.0531 9.8920 8.6986 Å, 60.84 69.64 72.18°
Sites, in units of the cell vectors:
1 Pr 0.2088 0.7705 0.8120
2 Pr 0.7912 0.2295 0.1880
3 Pr 0.2080 0.1204 0.4635
4 Pr 0.0834 0.5576 0.2757
5 Tb 0.3275 0.3889 0.9561
6 Tb 0.4288 0.6960 0.4464
7 Pr 0.9166 0.4424 0.7243
8 Tb 0.5712 0.3040 0.5536
9 Tb 0.6725 0.6111 0.0439
10 Pr 0.7920 0.8796 0.5365
11 Tm 0.0000 0.0000 0.0000
12 Pr 0.5000 0.0000 0.0000